[1]
Compound: KBaRh2
Source: the Alexandria database
Functional: PBE-GGA
Structure: relaxed

Unit cell a=5.6025 b=7.1592 c=3.3904 alpha=61.60 beta=90.08 gamma=119.67
Closest atoms and distances in Å follow each position.
Fractional positions:
Ba  0.5000  0.5000  0.0000  2 K 3.15, 8 Rh 3.27-3.28, 2 Ba 3.39
K  0.5000  0.0000  0.5000  2 Ba 3.15, 8 Rh 3.27-3.28, 2 K 3.39
Rh  0.0000  0.0000  0.0000  4 Rh 3.15-3.39, 4 K 3.27-3.28, 4 Ba 3.27-3.28
Rh  0.0000  0.5000  0.5000  4 Rh 3.15-3.39, 4 Ba 3.27-3.28, 4 K 3.27-3.28

Computed properties:
Its energy above the most stable polymorph in this dataset is 502 meV/atom. The value obtained for the total energy is -15.3 eV for the cell shown. As for the spin magnetization: 0.199 μB per atom. Its energy of formation from the pure elements is 0.613 eV/atom.



[2]
Compound: RbZnPb2
Source: the Alexandria database
Functional: PBE-GGA
Structure: relaxed

Unit cell a=5.8866 b=5.8866 c=10.5657 alpha=73.83 beta=73.83 gamma=90.00
Closest atoms and distances in Å follow each position.
Fractional positions:
Pb  0.4524  0.1250  0.2500  2 Zn 2.88, 2 Pb 3.08
Pb  0.2976  0.6250  0.2500  2 Zn 2.88, 2 Pb 3.08
Pb  0.3750  0.5476  0.7500  2 Zn 2.88, 2 Pb 3.08
Pb  0.8750  0.7024  0.7500  2 Zn 2.88, 2 Pb 3.08
Zn  0.5000  0.5000  0.0000  4 Pb 2.88
Zn  0.2500  0.7500  0.5000  4 Pb 2.88
Rb  0.0000  0.0000  0.0000  4 Pb 3.77, 4 Zn 4.16
Rb  0.7500  0.2500  0.5000  4 Pb 3.77, 4 Zn 4.16

Computed properties:
The value obtained for the total energy is -18.2 eV for the cell shown. As for the spin magnetization: 0.000 μB per atom. Its energy of formation from the pure elements is 0.142 eV/atom.



[3]
Compound: LiRe2Ru
Source: the Alexandria database
Functional: PBE-GGA
Structure: relaxed

Unit cell a=4.8996 b=4.8996 c=4.8996 alpha=136.15 beta=136.15 gamma=63.75
Closest atoms and distances in Å follow each position.
Fractional positions:
Li  0.7500  0.2500  0.5000  4 Ru 2.59, 8 Re 2.77
Re  0.0000  0.0000  0.0000  4 Re 2.59, 4 Ru 2.77, 4 Li 2.77
Re  0.5000  0.5000  0.0000  4 Re 2.59, 4 Li 2.77, 4 Ru 2.77
Ru  0.2500  0.7500  0.5000  4 Li 2.59, 8 Re 2.77

Computed properties:
Its energy above the most stable polymorph in this dataset is 171 meV/atom. The value obtained for the total energy is -34.9 eV for the cell shown. As for the spin magnetization: 0.000 μB per atom. Its energy of formation from the pure elements is 0.297 eV/atom.



[4]
Compound: Na2TcS4
Source: the Alexandria database
Functional: PBE-GGA
Structure: relaxed

Unit cell a=4.5424 b=4.5424 c=8.4306 alpha=74.37 beta=74.37 gamma=90.00
Closest atoms and distances in Å follow each position.
Fractional positions:
Na  0.3382  0.3382  0.3235  1 S 2.81
Na  0.6618  0.6618  0.6765  1 S 2.81
S  0.1578  0.1578  0.6844  1 Tc 2.46
S  0.8422  0.8422  0.3156  1 Tc 2.46
S  0.0000  0.5000  0.0000  2 Tc 2.27
S  0.5000  0.0000  0.0000  2 Tc 2.27
Tc  0.0000  0.0000  0.0000  6 S 2.27-2.46

Computed properties:
The value obtained for the total energy is -31.7 eV for the cell shown. As for the spin magnetization: 0.027 μB per atom. The formation energy without anion corrections is -0.319 eV per atom.



[5]
Compound: AcEuGdHo
Source: the Alexandria database
Functional: PBE-GGA
Structure: relaxed

Unit cell a=5.9290 b=5.9290 c=5.9290 alpha=60.00 beta=60.00 gamma=60.00
Closest atoms and distances in Å follow each position.
Fractional positions:
Eu  0.2500  0.2500  0.2500  4 Ac 3.63, 4 Ho 3.63
Ac  0.0000  0.0000  0.0000  4 Gd 3.63, 4 Eu 3.63
Gd  0.7500  0.7500  0.7500  4 Ac 3.63, 4 Ho 3.63
Ho  0.5000  0.5000  0.5000  4 Eu 3.63, 4 Gd 3.63

Computed properties:
The value obtained for the total energy is -32.5 eV for the cell shown. As for the spin magnetization: 3.852 μB per atom. Its energy of formation from the pure elements is 0.130 eV/atom.



[6]
Compound: CaNi2Br
Source: the Alexandria database
Functional: PBE-GGA
Structure: relaxed

Unit cell a=4.6972 b=4.6972 c=4.6972 alpha=60.00 beta=60.00 gamma=60.00
Closest atoms and distances in Å follow each position.
Fractional positions:
Ni  0.0000  0.0000  0.0000  4 Ni 2.88, 4 Ca 2.88
Ni  0.2500  0.2500  0.2500  4 Br 2.88, 4 Ni 2.88
Ca  0.7500  0.7500  0.7500  4 Br 2.88, 4 Ni 2.88
Br  0.5000  0.5000  0.5000  4 Ca 2.88, 4 Ni 2.88

Computed properties:
Its energy above the most stable polymorph in this dataset is 467 meV/atom. The value obtained for the total energy is -14.4 eV for the cell shown. As for the spin magnetization: 0.122 μB per atom. The formation energy without anion corrections is 0.205 eV per atom.



[7]
Compound: Th2ScCo
Source: the Alexandria database
Functional: PBE-GGA
Structure: relaxed

Unit cell a=6.0301 b=6.8329 c=9.7288 alpha=90.00 beta=90.00 gamma=90.00
Closest atoms and distances in Å follow each position.
Fractional positions:
Th  0.1715  0.6724  0.0668  2 Co 2.72-2.75
Th  0.3285  0.1724  0.4332  2 Co 2.72-2.75
Th  0.8285  0.3276  0.5668  2 Co 2.72-2.75
Th  0.6715  0.8276  0.9332  2 Co 2.72-2.75
Th  0.8285  0.3276  0.9332  2 Co 2.72-2.75
Th  0.6715  0.8276  0.5668  2 Co 2.72-2.75
Th  0.1715  0.6724  0.4332  2 Co 2.72-2.75
Th  0.3285  0.1724  0.0668  2 Co 2.72-2.75
Sc  0.6682  0.5542  0.2500  2 Co 2.69-2.73
Sc  0.8318  0.0542  0.2500  2 Co 2.69-2.73
Sc  0.3318  0.4458  0.7500  2 Co 2.69-2.73
Sc  0.1682  0.9458  0.7500  2 Co 2.69-2.73
Co  0.0771  0.3835  0.2500  2 Sc 2.69-2.73, 4 Th 2.72-2.75
Co  0.4229  0.8835  0.2500  2 Sc 2.69-2.73, 4 Th 2.72-2.75
Co  0.9229  0.6165  0.7500  2 Sc 2.69-2.73, 4 Th 2.72-2.75
Co  0.5771  0.1165  0.7500  2 Sc 2.69-2.73, 4 Th 2.72-2.75

Computed properties:
Its energy above the most stable polymorph in this dataset is 0 meV/atom. The value obtained for the total energy is -115.5 eV for the cell shown. As for the spin magnetization: 0.000 μB per atom. Its energy of formation from the pure elements is -0.150 eV/atom.



[8]
Compound: TbNpSi4
Source: the Alexandria database
Functional: PBE-GGA
Structure: relaxed

Unit cell a=5.2868 b=5.2868 c=5.2868 alpha=60.00 beta=60.00 gamma=60.00
Closest atoms and distances in Å follow each position.
Fractional positions:
Np  0.0000  0.0000  0.0000  12 Si 3.10, 4 Tb 3.24
Si  0.6251  0.6251  0.1247  6 Si 2.64-2.65
Si  0.6251  0.1247  0.6251  6 Si 2.64-2.65
Si  0.6251  0.6251  0.6251  6 Si 2.64-2.65
Si  0.1247  0.6251  0.6251  6 Si 2.64-2.65
Tb  0.2500  0.2500  0.2500  12 Si 3.10, 4 Np 3.24

Computed properties:
Its energy above the most stable polymorph in this dataset is 76 meV/atom. The value obtained for the total energy is -40.5 eV for the cell shown. As for the spin magnetization: 0.838 μB per atom. The formation energy without anion corrections is -0.202 eV per atom.



[9]
Compound: Ce14Pu3Pt6
Source: the Alexandria database
Functional: PBE-GGA
Structure: relaxed

Unit cell a=6.2371 b=10.2265 c=10.2265 alpha=120.00 beta=90.00 gamma=90.00
Closest atoms and distances in Å follow each position.
Fractional positions:
Ce  0.0223  0.1512  0.3024  1 Pu 2.78, 2 Pt 2.94, 1 Ce 2.99
Ce  0.0223  0.6976  0.8489  1 Pu 2.78, 2 Pt 2.94, 1 Ce 2.99
Ce  0.0223  0.1511  0.8488  1 Pu 2.78, 2 Pt 2.94, 1 Ce 2.99
Ce  0.4903  0.1874  0.3749  1 Pu 2.71, 2 Pt 2.94, 1 Ce 2.99
Ce  0.4903  0.6251  0.8125  1 Pu 2.71, 2 Pt 2.94, 1 Ce 2.99
Ce  0.4903  0.1875  0.8126  1 Pu 2.71, 2 Pt 2.94, 1 Ce 2.99
Ce  0.4923  0.0000  0.0000  1 Pu 2.55
Ce  0.9477  0.3333  0.6667  1 Pu 2.57
Ce  0.7191  0.8059  0.1942  1 Pu 2.72, 2 Pt 2.96
Ce  0.7191  0.8058  0.6117  1 Pu 2.72, 2 Pt 2.96
Ce  0.7191  0.3883  0.1941  1 Pu 2.72, 2 Pt 2.96
Ce  0.1962  0.5377  0.4623  3 Pt 2.95-3.20, 1 Pu 3.11
Ce  0.1962  0.5377  0.0754  3 Pt 2.95-3.20, 1 Pu 3.11
Ce  0.1962  0.9246  0.4623  3 Pt 2.95-3.20, 1 Pu 3.11
Pu  0.9018  0.0000  0.0000  4 Ce 2.55-2.78
Pu  0.3596  0.3333  0.6667  4 Ce 2.57-2.71
Pu  0.5337  0.6667  0.3333  3 Ce 2.72
Pt  0.2324  0.8544  0.1457  6 Ce 2.94-3.15
Pt  0.2324  0.8543  0.7086  6 Ce 2.94-3.15
Pt  0.2324  0.2914  0.1456  6 Ce 2.94-3.15
Pt  0.7090  0.4816  0.5183  6 Ce 2.94-3.20
Pt  0.7090  0.4817  0.9632  6 Ce 2.94-3.20
Pt  0.7090  0.0368  0.5184  6 Ce 2.94-3.20

Computed properties:
The value obtained for the total energy is -174.6 eV for the cell shown. As for the spin magnetization: 0.880 μB per atom. Its energy of formation from the pure elements is -0.536 eV/atom.



[10]
Compound: AcLa5Rh2
Source: the Alexandria database
Functional: PBE-GGA
Structure: relaxed

Unit cell a=5.1580 b=8.1131 c=8.1131 alpha=56.75 beta=71.47 gamma=71.47
Closest atoms and distances in Å follow each position.
Fractional positions:
Ac  0.0000  0.0000  0.0000  10 La 3.86-3.87
La  0.0000  0.5000  0.5000  2 Rh 2.72
La  0.3484  0.4189  0.8843  1 Rh 2.82
La  0.6516  0.5811  0.1157  1 Rh 2.82
La  0.6516  0.1157  0.5811  1 Rh 2.82
La  0.3484  0.8843  0.4189  1 Rh 2.82
Rh  0.2043  0.2957  0.2957  3 La 2.72-2.82
Rh  0.7957  0.7043  0.7043  3 La 2.72-2.82

Computed properties:
The value obtained for the total energy is -46.2 eV for the cell shown. As for the spin magnetization: 0.000 μB per atom. Its energy of formation from the pure elements is -0.341 eV/atom.



Repeat the tenth record exactly.
Compound: AcLa5Rh2
Source: the Alexandria database
Functional: PBE-GGA
Structure: relaxed

Unit cell a=5.1580 b=8.1131 c=8.1131 alpha=56.75 beta=71.47 gamma=71.47
Closest atoms and distances in Å follow each position.
Fractional positions:
Ac  0.0000  0.0000  0.0000  10 La 3.86-3.87
La  0.0000  0.5000  0.5000  2 Rh 2.72
La  0.3484  0.4189  0.8843  1 Rh 2.82
La  0.6516  0.5811  0.1157  1 Rh 2.82
La  0.6516  0.1157  0.5811  1 Rh 2.82
La  0.3484  0.8843  0.4189  1 Rh 2.82
Rh  0.2043  0.2957  0.2957  3 La 2.72-2.82
Rh  0.7957  0.7043  0.7043  3 La 2.72-2.82

Computed properties:
The value obtained for the total energy is -46.2 eV for the cell shown. As for the spin magnetization: 0.000 μB per atom. Its energy of formation from the pure elements is -0.341 eV/atom.